Material: ZnFePb2O6
Method: DFT, GGA+U
State: relaxed

a = 5.5357 Å, b = 5.5357 Å, c = 14.6854 Å
α = 90.00°, β = 90.00°, γ = 120.00°
Space group R3 (No. 146, hexagonal axes)
Inequivalent atoms, fractional coordinates:
Zn (0.0000, 0.0000, 0.0000) (multiplicity 3)
Fe (0.0000, 0.0000, 0.5122) (multiplicity 3)
Pb (0.0000, 0.0000, 0.2197) (multiplicity 3)
Pb (0.0000, 0.0000, 0.7300) (multiplicity 3)
O (0.0097, 0.6122, 0.7800) (multiplicity 9)
O (0.0213, 0.3053, 0.6079) (multiplicity 9)

Output
energy: -5.501 eV/atom